[1]
# MnMo3

An optimized crystal structure of MnMo3 (GGA-PBE, Alexandria).

- DFT formation energy: 1983.8 meV/atom
- Space-group type: Pm-3m (221)

Cell lengths 4.474, 4.474, 4.474 Å; angles 90.00, 90.00, 90.00 degrees
Positions (direct):
Mn 0.000 0.000 0.000
Mo 0.000 0.000 0.500
Mo 0.000 0.500 0.000
Mo 0.500 0.000 0.000



[2]
# AcIn2Rh

An optimized crystal structure of AcIn2Rh (GGA-PBE, Alexandria).

- DFT formation energy: -602.0 meV/atom
- Space-group type: Cmcm (63)

Cell lengths 5.790, 5.790, 8.302 Å; angles 90.00, 90.00, 134.10 degrees
Positions (direct):
Ac 0.062 0.938 0.750
Ac 0.938 0.062 0.250
In 0.347 0.653 0.552
In 0.347 0.653 0.948
In 0.653 0.347 0.052
In 0.653 0.347 0.448
Rh 0.215 0.785 0.250
Rh 0.785 0.215 0.750



[3]
# NaBi2Pb2

An optimized crystal structure of NaBi2Pb2 (GGA-PBE, Alexandria).

- DFT formation energy: 12.2 meV/atom
- Space-group type: C2/c (15)

Cell lengths 7.733, 7.733, 8.154 Å; angles 116.24, 116.24, 93.62 degrees
Positions (direct):
Na 0.124 0.876 0.750
Na 0.876 0.124 0.250
Bi 0.153 0.847 0.250
Bi 0.400 0.600 0.750
Bi 0.600 0.400 0.250
Bi 0.847 0.153 0.750
Pb 0.199 0.445 0.249
Pb 0.445 0.199 0.749
Pb 0.555 0.801 0.251
Pb 0.801 0.555 0.751



[4]
# BaLi2CaSb2

An optimized crystal structure of BaLi2CaSb2 (GGA-PBE, Alexandria).

- E_form (uncorrected): -550 kJ/mol of formula units
- Space-group type: P-3m1 (164)

Cell lengths 4.864, 4.864, 8.282 Å; angles 90.00, 90.00, 120.00 degrees
Positions (direct):
Ba 0.000 0.000 0.000
Li 0.333 0.667 0.668
Li 0.667 0.333 0.332
Ca 0.000 0.000 0.500
Sb 0.333 0.667 0.280
Sb 0.667 0.333 0.720